Sm6Sb2C: relaxed, GGA-PBE.

Values from the calculation:
Total moment   0.0 μB/cell
E_form (uncorrected)   -56.2 kJ per mole of atoms
Electronic total energy   -5.67 eV/atom

a b c (Å): 6.487 8.087 11.661
angles (deg): 90.00 121.99 90.00
Atoms (fractional coordinates):
Sm  0.129  0.164  0.459
Sm  0.129  0.336  0.959
Sm  0.319  0.711  0.455
Sm  0.319  0.789  0.955
Sm  0.360  0.027  0.252
Sm  0.360  0.473  0.752
Sm  0.640  0.527  0.248
Sm  0.640  0.973  0.748
Sm  0.681  0.211  0.045
Sm  0.681  0.289  0.545
Sm  0.871  0.664  0.041
Sm  0.871  0.836  0.541
Sb  0.182  0.107  0.757
Sb  0.182  0.393  0.257
Sb  0.818  0.607  0.743
Sb  0.818  0.893  0.243
C  0.500  0.000  0.500
C  0.500  0.500  0.000

Sm4SbC: relaxed, GGA-PBE.

Values from the calculation:
Total moment   0.0 μB/cell
E_form (uncorrected)   -28.1 kJ per mole of atoms
Electronic total energy   -5.66 eV/atom
E above lowest polymorph   0.48 eV/f.u.

a b c (Å): 6.148 9.951 6.163
angles (deg): 90.00 101.15 90.00
Atoms (fractional coordinates):
Sm  0.133  0.250  0.232
Sm  0.261  0.050  0.759
Sm  0.261  0.450  0.759
Sm  0.267  0.750  0.369
Sm  0.733  0.250  0.631
Sm  0.739  0.550  0.241
Sm  0.739  0.950  0.241
Sm  0.867  0.750  0.768
Sb  0.401  0.750  0.903
Sb  0.599  0.250  0.097
C  0.106  0.250  0.604
C  0.894  0.750  0.396

Sm4SbC: relaxed, GGA-PBE.

Values from the calculation:
Total moment   0.0 μB/cell
E_form (uncorrected)   -35.8 kJ per mole of atoms
Electronic total energy   -5.74 eV/atom
E above lowest polymorph   0.00 eV/f.u.

a b c (Å): 8.724 8.724 6.280
angles (deg): 109.53 109.53 113.37
Atoms (fractional coordinates):
Sm  0.050  0.665  0.894
Sm  0.159  0.253  0.643
Sm  0.253  0.159  0.143
Sm  0.335  0.950  0.606
Sm  0.665  0.050  0.394
Sm  0.747  0.841  0.857
Sm  0.841  0.747  0.357
Sm  0.950  0.335  0.106
Sb  0.382  0.618  0.250
Sb  0.618  0.382  0.750
C  0.074  0.926  0.250
C  0.926  0.074  0.750

Sm2SbC: relaxed, GGA-PBE.

Values from the calculation:
Total moment   0.0 μB/cell
E_form (uncorrected)   -51.8 kJ per mole of atoms
Electronic total energy   -6.23 eV/atom

a b c (Å): 8.064 8.064 8.064
angles (deg): 27.01 27.01 27.01
Atoms (fractional coordinates):
Sm  0.226  0.226  0.226
Sm  0.774  0.774  0.774
Sb  0.000  0.000  0.000
C  0.500  0.500  0.500